! Li2SnAu4 (PBE, relaxed); values from VASP
&SYSTEM
  ibrav = 0, nat = 7, ntyp = 3
/
ATOMIC_SPECIES
Li 6.94 Li.upf
Sn 118.71 Sn.upf
Au 196.97 Au.upf
ATOMIC_POSITIONS crystal
Li 0.112 0.112 0.000
Li 0.888 0.888 0.000
Sn 0.500 0.500 0.000
Au 0.000 0.500 0.500
Au 0.301 0.301 0.000
Au 0.500 0.000 0.500
Au 0.699 0.699 0.000
CELL_PARAMETERS angstrom
-2.583 2.583 6.862
2.583 -2.583 6.862
2.583 2.583 -6.862
! Energy relative to the elements (eV per atom): 0.103
! E above lowest polymorph (eV/atom): 0.421
! Raw total energy (eV per atom): -2.89

=====

! Cu4PdAu (PBE, relaxed); values from VASP
&SYSTEM
  ibrav = 0, nat = 6, ntyp = 3
/
ATOMIC_SPECIES
Cu 63.55 Cu.upf
Pd 106.42 Pd.upf
Au 196.97 Au.upf
ATOMIC_POSITIONS crystal
Cu 0.125 0.125 0.125
Cu 0.125 0.125 0.625
Cu 0.125 0.625 0.125
Cu 0.625 0.125 0.125
Pd 0.750 0.750 0.750
Au 0.500 0.500 0.500
CELL_PARAMETERS angstrom
0.000 3.439 3.439
3.439 0.000 3.439
3.439 3.439 0.000
! Energy relative to the elements (eV per atom): -0.034
! E above lowest polymorph (eV/atom): 0.026
! Raw total energy (eV per atom): -4.18

=====

Number 1: mass density 8.35 g/cm³. Number 2: mass density 11.38 g/cm³.